# 1
Computed, not measured: crystalline Ho3Be2Pd5 at its relaxed geometry at the PBE level of DFT.

extended XYZ file:
```
20
Lattice="-3.575 0.487 -0.076 -0.650 -3.344 9.166 1.167 9.094 3.400" Properties=species:S:1:pos:R:3 pbc="T T T"
Ho 0.750 6.403 5.756
Ho -0.233 -0.653 6.810
Ho 0.261 2.342 2.722
Ho 0.256 3.408 9.844
Ho 0.000 0.000 0.000
Ho 0.259 2.875 6.283
Be 0.643 5.210 3.148
Be -0.126 0.540 9.418
Be -0.116 -0.238 3.918
Be 0.633 5.988 8.648
Pd -1.850 0.141 2.250
Pd -1.208 6.097 10.240
Pd -2.131 -0.832 9.239
Pd -0.927 7.069 3.252
Pd -1.301 4.509 4.438
Pd -1.757 1.728 8.052
Pd -1.314 4.913 7.653
Pd -1.744 1.324 4.837
Pd -1.204 4.790 1.662
Pd -2.112 -1.428 4.545
```

Results
Mass density ... 10.1 g/cm³
Calculated volume ... 345.0 Å³ per cell
Total moment ... 0.0 Bohr magnetons per cell
Calculated formation energy ... -803 meV per atom

---

# 2
Computed, not measured: crystalline Na2MnBTe at its relaxed geometry at the PBE level of DFT.

extended XYZ file:
```
5
Lattice="5.038 0.000 0.000 0.000 4.110 0.000 0.000 0.000 5.038" Properties=species:S:1:pos:R:3 pbc="T T T"
Na 0.000 0.000 2.519
Na 2.519 0.000 0.000
B 0.000 0.000 0.000
Te 2.519 2.055 2.519
Mn 0.000 2.055 0.000
```

Results
Mass density ... 3.8 g/cm³
Calculated volume ... 104.3 Å³ per cell
Total moment ... 2.7 Bohr magnetons per cell
Formation energy (no corrections) ... 0.278 eV/atom